## ReAg2H2 (GGA-PBEsol)

Data for an optimized crystal structure of ReAg2H2.

Output
VASP energy ... -22.0 eV per cell
Space group ... I4/mmm (139)

abc: 4.600 4.353 4.600
angles: 58.10 90.00 121.90
Element x y z (fractional)
Ag 0.250 0.500 0.250
H 0.305 0.609 0.695
Ag 0.750 0.500 0.750
Re 0.000 0.000 0.000
H 0.695 0.391 0.305

## SrMgIn2 (GGA-PBEsol)

Data for an optimized crystal structure of SrMgIn2.

Output
DFT formation energy ... -0.314 eV per atom
Space group ... R-3m (166)

abc: 4.892 4.892 6.223
angles: 66.85 66.85 60.00
Element x y z (fractional)
In 0.781 0.781 0.656
Mg 0.500 0.500 0.500
In 0.219 0.219 0.344
Sr 0.000 0.000 0.000

## ScBe2PdRu (GGA-PBEsol)

Data for an optimized crystal structure of ScBe2PdRu.

Output
DFT formation energy ... 1.618 eV per atom
Space group ... P4/mmm (123)

abc: 4.262 4.467 4.467
angles: 90.00 90.00 90.00
Element x y z (fractional)
Pd 0.500 0.500 0.500
Be 0.000 0.500 0.000
Be 0.000 0.000 0.500
Ru 0.500 0.000 0.000
Sc 0.000 0.000 0.000

## K2InGe (GGA-PBEsol)

Data for an optimized crystal structure of K2InGe.

Output
DFT formation energy ... 0.231 eV per atom
Space group ... Fm-3m (225)

abc: 5.631 5.631 5.631
angles: 60.00 60.00 60.00
Element x y z (fractional)
In 0.500 0.500 0.500
K 0.750 0.750 0.750
K 0.250 0.250 0.250
Ge 0.000 0.000 0.000

## ZnCuNi (GGA-PBEsol)

Data for an optimized crystal structure of ZnCuNi.

Output
DFT formation energy ... -0.130 eV per atom
Space group ... Imm2 (44)

abc: 2.584 3.493 4.384
angles: 113.47 107.14 90.00
Element x y z (fractional)
Ni 0.667 0.667 0.334
Cu 0.002 0.002 0.004
Zn 0.331 0.331 0.663

## InTcCl2 (GGA-PBEsol)

Data for an optimized crystal structure of InTcCl2.

Output
Space group ... Cmmm (65)
Raw formation energy ... -0.03 eV/atom

abc: 2.985 3.199 9.235
angles: 90.00 90.00 117.81
Element x y z (fractional)
Cl 0.000 0.000 0.801
Tc 0.500 0.000 0.000
In 0.500 0.000 0.500
Cl 0.000 0.000 0.199

## GeTeC3 (GGA-PBEsol)

Data for an optimized crystal structure of GeTeC3.

Output
Space group ... Pm-3m (221)
Raw formation energy ... 2.46 eV/atom

abc: 3.995 3.995 3.995
angles: 90.00 90.00 90.00
Element x y z (fractional)
C 0.500 0.000 0.000
Ge 0.000 0.000 0.000
Te 0.500 0.500 0.500
C 0.000 0.000 0.500
C 0.000 0.500 0.000

## AlPtRh (GGA-PBEsol)

Data for an optimized crystal structure of AlPtRh.

Output
DFT formation energy ... -0.196 eV per atom
Space group ... F-43m (216)

abc: 4.164 4.164 4.164
angles: 60.00 60.00 60.00
Element x y z (fractional)
Al 0.500 0.500 0.500
Rh 0.000 0.000 0.000
Pt 0.750 0.750 0.750

## ScBeNi (GGA-PBEsol)

Data for an optimized crystal structure of ScBeNi.

Output
DFT formation energy ... 0.009 eV per atom
Space group ... F-43m (216)

abc: 4.009 4.009 4.009
angles: 60.00 60.00 60.00
Element x y z (fractional)
Ni 0.250 0.250 0.250
Sc 0.000 0.000 0.000
Be 0.500 0.500 0.500

## Ca3Ge3Bi2O12 (GGA-PBEsol)

Data for an optimized crystal structure of Ca3Ge3Bi2O12.

Output
Space group ... Ia-3d (230)
Raw formation energy ... -2.07 eV/atom

abc: 11.217 11.217 11.217
angles: 109.47 109.47 109.47
Element x y z (fractional)
O 0.226 0.201 0.097
Bi 0.500 0.500 0.500
Bi 0.500 0.000 0.000
Bi 0.500 0.000 0.500
O 0.774 0.799 0.903
Ca 0.375 0.125 0.250
Bi 0.000 0.000 0.000
Bi 0.500 0.500 0.000
O 0.403 0.629 0.604
O 0.525 0.726 0.129
Ca 0.375 0.250 0.625
O 0.799 0.396 0.025
Ca 0.125 0.750 0.875
O 0.097 0.701 0.226
Ca 0.750 0.375 0.625
Ge 0.375 0.625 0.750
O 0.129 0.903 0.104
O 0.129 0.226 0.525
O 0.896 0.299 0.525
O 0.629 0.104 0.903
O 0.975 0.104 0.201
O 0.475 0.274 0.871
Ge 0.250 0.875 0.625
O 0.604 0.129 0.403
O 0.371 0.475 0.774
O 0.274 0.903 0.799
O 0.525 0.799 0.896
O 0.299 0.025 0.396
O 0.475 0.201 0.104
O 0.701 0.726 0.597
Ca 0.750 0.875 0.125
O 0.201 0.597 0.726
Ge 0.625 0.250 0.875
O 0.871 0.774 0.475
O 0.799 0.403 0.274
O 0.597 0.226 0.701
Ge 0.250 0.375 0.125
O 0.403 0.774 0.299
O 0.903 0.299 0.774
O 0.025 0.896 0.799
O 0.629 0.525 0.226
Ge 0.125 0.875 0.250
O 0.201 0.604 0.975
Ge 0.375 0.750 0.125
O 0.274 0.371 0.975
O 0.104 0.701 0.475
Ge 0.750 0.125 0.375
O 0.604 0.475 0.701
Ge 0.875 0.125 0.750
Ge 0.625 0.375 0.250
O 0.371 0.896 0.097
O 0.975 0.871 0.274
O 0.597 0.371 0.396
Ca 0.625 0.875 0.750
Bi 0.000 0.000 0.500
O 0.226 0.025 0.629
O 0.726 0.097 0.201
O 0.396 0.525 0.299
Ca 0.125 0.375 0.750
Ca 0.875 0.250 0.125
Ge 0.750 0.625 0.875
O 0.903 0.604 0.629
Bi 0.000 0.500 0.000
O 0.896 0.597 0.871
O 0.726 0.629 0.025
Ca 0.625 0.750 0.375
O 0.097 0.396 0.371
Bi 0.000 0.500 0.500
O 0.701 0.975 0.604
O 0.396 0.871 0.597
Ge 0.125 0.250 0.375
O 0.025 0.129 0.726
O 0.774 0.975 0.371
Ca 0.250 0.625 0.375
Ca 0.250 0.125 0.875
Ge 0.875 0.750 0.625
Ca 0.875 0.625 0.250
O 0.871 0.097 0.896
O 0.104 0.403 0.129
O 0.299 0.274 0.403

## MnAl6Si4O19 (GGA-PBEsol)

Data for an optimized crystal structure of MnAl6Si4O19.

Output
Space group ... P2_1/m (11)
Raw formation energy ... -2.76 eV/atom

abc: 5.698 9.515 11.795
angles: 107.81 90.00 90.00
Element x y z (fractional)
O 0.750 0.326 0.490
O 0.250 0.834 0.194
O 0.014 0.218 0.613
Si 0.750 0.491 0.582
O 0.750 0.463 0.853
O 0.005 0.928 0.785
Al 0.991 0.933 0.307
Al 0.509 0.933 0.307
O 0.750 0.019 0.598
Si 0.250 0.896 0.848
O 0.486 0.218 0.613
Al 0.750 0.909 0.865
Si 0.750 0.324 0.906
Al 0.502 0.592 0.833
O 0.250 0.718 0.833
O 0.511 0.511 0.667
O 0.487 0.657 0.010
O 0.750 0.841 0.208
Al 0.998 0.592 0.833
O 0.495 0.928 0.785
Al 0.498 0.408 0.167
Al 0.491 0.067 0.693
O 0.011 0.489 0.333
O 0.250 0.374 0.479
O 0.513 0.343 0.990
O 0.250 0.537 0.147
Si 0.250 0.676 0.094
O 0.250 0.454 0.824
O 0.750 0.718 0.845
Mn 0.750 0.636 0.374
O 0.013 0.657 0.010
O 0.989 0.511 0.667
Mn 0.250 0.364 0.626
O 0.750 0.546 0.176
O 0.995 0.072 0.215
O 0.750 0.282 0.167
O 0.750 0.166 0.806
Si 0.750 0.171 0.534
O 0.250 0.674 0.510
O 0.250 0.159 0.792
O 0.250 0.986 0.987
O 0.250 0.981 0.402
O 0.489 0.489 0.333
O 0.250 0.282 0.155
Al 0.250 0.091 0.135
O 0.986 0.782 0.387
Al 0.002 0.408 0.167
Si 0.250 0.829 0.466
Al 0.750 0.678 0.095
Si 0.750 0.104 0.152
O 0.750 0.049 0.397
Al 0.009 0.067 0.693
O 0.750 0.014 0.013
O 0.514 0.782 0.387
O 0.505 0.072 0.215
O 0.987 0.343 0.990
Al 0.250 0.322 0.905
O 0.250 0.951 0.603
Si 0.250 0.509 0.418
O 0.750 0.626 0.521

## LaYMg2 (GGA-PBEsol)

Data for an optimized crystal structure of LaYMg2.

Output
DFT formation energy ... -0.028 eV per atom
Space group ... P4mm (99)

abc: 3.448 3.448 9.465
angles: 90.00 90.00 90.00
Element x y z (fractional)
La 0.500 0.500 0.761
Y 0.000 0.000 0.476
Mg 0.000 0.000 0.028
Mg 0.500 0.500 0.235